1.
Entry from Alexandria via LeMat-Bulk: a relaxed structure of Tb2BCl (PBE).

```
Tb2BCl
1.0
3.8550 0.0000 0.0000
1.9275 3.3385 0.0000
1.9275 1.1128 6.7655
Tb B Cl
2 1 1
Direct
0.2669 0.2669 0.1993
0.7331 0.7331 0.8007
0.0000 0.0000 0.0000
0.5000 0.5000 0.5000
```

Output
DFT total energy   -5.353 eV/atom
Total magnetic moment   0.0 μB/f.u.
ΔE_f (raw)   -0.907 eV/atom


2.
Entry from Alexandria via LeMat-Bulk: a relaxed structure of AcHoTmSc (PBE).

```
AcHoTmSc
1.0
-3.2495 3.0334 -3.5262
-0.5757 -1.6021 -5.4126
-4.9419 -2.1081 -1.8244
Sc Tm Ac Ho
1 1 1 1
Direct
0.2500 0.2500 0.2500
0.7500 0.7500 0.7500
0.0000 0.0000 0.0000
0.5000 0.5000 0.5000
```

Output
Formation enthalpy at 0 K   119 meV per atom
DFT total energy   -4.753 eV/atom
Total magnetic moment   0.0 μB/f.u.


3.
Entry from Alexandria via LeMat-Bulk: a relaxed structure of Pm2DyCuSe5 (PBE).

```
Pm2DyCuSe5
1.0
4.0549 0.0000 0.0000
-2.0275 8.8322 0.0000
0.0000 0.0000 12.1229
Se Dy Pm Cu
10 2 4 2
Direct
0.6430 0.2861 0.5010
0.9578 0.9156 0.5624
0.4991 0.9982 0.7802
0.0422 0.0844 0.0624
0.3570 0.7139 0.0010
0.6867 0.3734 0.8450
0.5009 0.0018 0.2802
0.2882 0.5763 0.6749
0.7118 0.4237 0.1749
0.3133 0.6266 0.3450
0.1933 0.3866 0.0105
0.8067 0.6134 0.5105
0.8781 0.7562 0.8092
0.1219 0.2438 0.3092
0.8914 0.7827 0.1858
0.1086 0.2173 0.6858
0.4357 0.8714 0.4549
0.5643 0.1286 0.9549
```

Output
DFT total energy   -5.545 eV/atom
Total magnetic moment   0.0 μB/f.u.
ΔE_f (raw)   -1.587 eV/atom


Q: The lowest DFT total energy belongs to which entry?
A: Pm2DyCuSe5